Record 1
A relaxed structure of LiCuPb. Source: Alexandria via LeMat-Bulk, functional PBEsol.

Unit cell a=4.920 b=4.952 c=8.462 alpha=90.00 beta=90.00 gamma=90.00
Fractional coordinates of all 12 atoms:
Li1 0.000 0.000 0.000
Li2 0.000 0.500 0.500
Li3 0.500 0.000 0.500
Li4 0.500 0.500 0.000
Cu1 0.000 0.000 0.349
Cu2 0.000 0.500 0.849
Cu3 0.500 0.000 0.849
Cu4 0.500 0.500 0.349
Pb1 0.000 0.000 0.680
Pb2 0.000 0.500 0.180
Pb3 0.500 0.000 0.180
Pb4 0.500 0.500 0.680

Summary:
The energy of formation from the pure elements is -2 kJ per mole of atoms. The energy comes out at -10.35 eV per formula unit. The size of the total moment is 0.0 μB per formula unit. The value obtained for the density of states at the Fermi level is 0.411 states/eV per atom.

=====

Record 2
A relaxed structure of CaNbSiSb2. Source: Alexandria via LeMat-Bulk, functional PBEsol.

Unit cell a=5.296 b=5.296 c=4.741 alpha=90.00 beta=90.00 gamma=90.00
Fractional coordinates of all 5 atoms:
Ca1 0.000 0.000 0.000
Nb1 0.500 0.500 0.000
Si1 0.500 0.500 0.500
Sb1 0.000 0.500 0.500
Sb2 0.500 0.000 0.500

Summary:
The energy comes out at -25.90 eV per formula unit. The size of the total moment is 1.9 μB per formula unit. The formation energy from raw total energies is 0.3827 eV per atom. The value obtained for the density of states at the Fermi level is 0.917 states/eV per atom.

=====

Record 3
A relaxed structure of CdRhW2. Source: Alexandria via LeMat-Bulk, functional PBEsol.

Unit cell a=5.351 b=8.558 c=2.727 alpha=90.00 beta=90.17 gamma=90.00
Fractional coordinates of all 8 atoms:
Cd1 0.000 0.000 0.000
Cd2 0.500 0.500 0.000
Rh1 0.000 0.500 0.000
Rh2 0.500 0.000 0.000
W1 0.250 0.250 0.500
W2 0.250 0.750 0.500
W3 0.750 0.250 0.500
W4 0.750 0.750 0.500

Summary:
The energy of formation from the pure elements is 37 kJ per mole of atoms. The energy comes out at -35.43 eV per formula unit. The size of the total moment is 0.0 μB per formula unit. The value obtained for the density of states at the Fermi level is 0.589 states/eV per atom.

=====

Record 4
A relaxed structure of Nb2CoP6O21. Source: Alexandria via LeMat-Bulk, functional PBEsol.

Unit cell a=6.560 b=7.989 c=16.796 alpha=90.00 beta=112.40 gamma=90.00
Fractional coordinates of all 60 atoms:
Nb1 0.204 0.022 0.167
Nb2 0.204 0.478 0.667
Nb3 0.796 0.522 0.333
Nb4 0.796 0.978 0.833
Co1 0.500 0.000 0.500
Co2 0.500 0.500 0.000
P1 0.055 0.606 0.836
P2 0.055 0.894 0.336
P3 0.297 0.119 0.983
P4 0.297 0.381 0.483
P5 0.321 0.603 0.159
P6 0.321 0.897 0.659
P7 0.679 0.103 0.341
P8 0.679 0.397 0.841
P9 0.703 0.619 0.517
P10 0.703 0.881 0.017
P11 0.945 0.106 0.664
P12 0.945 0.394 0.164
O1 0.091 0.555 0.165
O2 0.091 0.945 0.665
O3 0.100 0.027 0.916
O4 0.100 0.473 0.416
O5 0.108 0.245 0.190
O6 0.108 0.255 0.690
O7 0.129 0.572 0.761
O8 0.129 0.928 0.261
O9 0.238 0.631 0.921
O10 0.238 0.869 0.421
O11 0.267 0.115 0.070
O12 0.267 0.385 0.570
O13 0.299 0.705 0.646
O14 0.299 0.795 0.146
O15 0.335 0.214 0.454
O16 0.335 0.286 0.954
O17 0.363 0.506 0.092
O18 0.363 0.994 0.592
O19 0.494 0.572 0.251
O20 0.494 0.928 0.751
O21 0.500 0.000 0.000
O22 0.500 0.500 0.500
O23 0.506 0.072 0.249
O24 0.506 0.428 0.749
O25 0.637 0.006 0.408
O26 0.637 0.494 0.908
O27 0.665 0.714 0.046
O28 0.665 0.786 0.546
O29 0.701 0.205 0.854
O30 0.701 0.295 0.354
O31 0.733 0.615 0.430
O32 0.733 0.885 0.930
O33 0.762 0.131 0.579
O34 0.762 0.369 0.079
O35 0.871 0.072 0.739
O36 0.871 0.428 0.239
O37 0.892 0.745 0.310
O38 0.892 0.755 0.810
O39 0.900 0.527 0.584
O40 0.900 0.973 0.084
O41 0.909 0.055 0.335
O42 0.909 0.445 0.835

Summary:
The energy comes out at -239.33 eV per formula unit. The size of the total moment is 2.9 μB per formula unit. The formation energy from raw total energies is -2.1655 eV per atom. The value obtained for the density of states at the Fermi level is 0.280 states/eV per atom.

=====

Record 5
A relaxed structure of CuP3O9. Source: Alexandria via LeMat-Bulk, functional PBEsol.

Unit cell a=9.538 b=9.539 c=9.608 alpha=115.00 beta=102.31 gamma=110.61
Fractional coordinates of all 52 atoms:
Cu1 0.004 0.062 0.276
Cu2 0.304 0.898 0.182
Cu3 0.696 0.102 0.818
Cu4 0.996 0.938 0.724
P1 0.122 0.245 0.100
P2 0.172 0.252 0.659
P3 0.214 0.620 0.287
P4 0.287 0.634 0.841
P5 0.360 0.124 0.026
P6 0.422 0.150 0.568
P7 0.578 0.850 0.432
P8 0.640 0.876 0.974
P9 0.713 0.366 0.159
P10 0.786 0.380 0.713
P11 0.828 0.748 0.341
P12 0.878 0.755 0.900
O1 0.014 0.906 0.077
O2 0.055 0.111 0.676
O3 0.084 0.249 0.246
O4 0.086 0.245 0.502
O5 0.117 0.595 0.383
O6 0.158 0.428 0.118
O7 0.187 0.733 0.222
O8 0.213 0.718 0.956
O9 0.231 0.440 0.820
O10 0.237 0.994 0.847
O11 0.255 0.619 0.678
O12 0.294 0.253 0.126
O13 0.315 0.076 0.384
O14 0.343 0.257 0.675
O15 0.406 0.682 0.375
O16 0.422 0.065 0.138
O17 0.447 0.040 0.632
O18 0.482 0.733 0.964
O19 0.518 0.267 0.036
O20 0.553 0.960 0.368
O21 0.578 0.935 0.862
O22 0.594 0.318 0.625
O23 0.657 0.743 0.325
O24 0.685 0.924 0.616
O25 0.706 0.747 0.874
O26 0.745 0.381 0.322
O27 0.763 0.006 0.153
O28 0.769 0.560 0.180
O29 0.787 0.282 0.044
O30 0.813 0.267 0.778
O31 0.842 0.572 0.882
O32 0.883 0.405 0.617
O33 0.914 0.755 0.498
O34 0.916 0.751 0.754
O35 0.945 0.889 0.324
O36 0.986 0.094 0.923

Summary:
The energy comes out at -90.91 eV per formula unit. The size of the total moment is 0.0 μB per formula unit. The formation energy from raw total energies is -1.6894 eV per atom. The value obtained for the density of states at the Fermi level is 0.344 states/eV per atom. Its energy above the lowest structure with this stoichiometry is 0.033 eV/atom.

=====

Record 6
A relaxed structure of HfNbN2. Source: Alexandria via LeMat-Bulk, functional PBEsol.

Unit cell a=3.154 b=3.154 c=15.366 alpha=90.00 beta=90.00 gamma=120.00
Fractional coordinates of all 12 atoms:
Hf1 0.000 0.000 0.000
Hf2 0.333 0.667 0.667
Hf3 0.667 0.333 0.333
Nb1 0.000 0.000 0.500
Nb2 0.333 0.667 0.167
Nb3 0.667 0.333 0.833
N1 0.000 0.000 0.253
N2 0.000 0.000 0.747
N3 0.333 0.667 0.413
N4 0.333 0.667 0.920
N5 0.667 0.333 0.080
N6 0.667 0.333 0.587

Summary:
The energy comes out at -44.68 eV per formula unit. The size of the total moment is 0.0 μB per formula unit. The formation energy from raw total energies is -1.5746 eV per atom. The value obtained for the density of states at the Fermi level is 0.345 states/eV per atom.

=====

Record 7
A relaxed structure of PbAuBr2. Source: Alexandria via LeMat-Bulk, functional PBEsol.

Unit cell a=3.783 b=3.783 c=6.815 alpha=90.00 beta=90.00 gamma=90.00
Fractional coordinates of all 4 atoms:
Pb1 0.000 0.000 0.000
Au1 0.000 0.000 0.500
Br1 0.500 0.500 0.256
Br2 0.500 0.500 0.744

Summary:
The energy comes out at -11.74 eV per formula unit. The size of the total moment is 0.0 μB per formula unit. The formation energy from raw total energies is -0.0203 eV per atom. The value obtained for the density of states at the Fermi level is 0.383 states/eV per atom.

=====

Record 8
A relaxed structure of Si2Pt. Source: Alexandria via LeMat-Bulk, functional PBEsol.

Unit cell a=9.323 b=3.560 c=5.893 alpha=90.00 beta=104.98 gamma=90.00
Fractional coordinates of all 12 atoms:
Si1 0.000 0.000 0.000
Si2 0.029 0.000 0.414
Si3 0.271 0.500 0.298
Si4 0.402 0.000 0.718
Si5 0.500 0.500 0.000
Si6 0.529 0.500 0.414
Si7 0.771 0.000 0.298
Si8 0.902 0.500 0.718
Pt1 0.165 0.500 0.626
Pt2 0.261 0.000 0.020
Pt3 0.665 0.000 0.626
Pt4 0.761 0.500 0.020

Summary:
The energy comes out at -19.20 eV per formula unit. The size of the total moment is 0.0 μB per formula unit. The formation energy from raw total energies is -0.2462 eV per atom. The value obtained for the density of states at the Fermi level is 0.320 states/eV per atom.